Record 1
Material: Zr2CdAg2
Method: DFT, PBE-GGA
State: relaxed

Cell lengths 8.198, 8.198, 3.113 Å; angles 90.00, 90.00, 90.00 degrees
Fractional positions:
Zr: 0.174 0.326 0.000
Zr: 0.326 0.826 0.000
Zr: 0.674 0.174 0.000
Zr: 0.826 0.674 0.000
Cd: 0.000 0.000 0.500
Cd: 0.500 0.500 0.500
Ag: 0.123 0.623 0.500
Ag: 0.377 0.123 0.500
Ag: 0.623 0.877 0.500
Ag: 0.877 0.377 0.500

Calculated values
- relative energy among the computed polymorphs (eV/atom) = 0.000
- SG = P4/mbm, No. 127
- total DFT energy (no corrections) (eV for the cell shown) = -47.2
- calculated formation energy (eV per atom) = 0.02
- total magnetization (μB/cell) = 0.0

***

Record 2
Material: DyErLuMg
Method: DFT, PBE-GGA
State: relaxed

Cell lengths 5.440, 5.440, 5.440 Å; angles 60.00, 60.00, 60.00 degrees
Fractional positions:
Dy: 0.000 0.000 0.000
Er: 0.500 0.500 0.500
Lu: 0.250 0.250 0.250
Mg: 0.750 0.750 0.750

Calculated values
- SG = F-43m, No. 216
- total DFT energy (no corrections) (eV for the cell shown) = -15.1
- calculated formation energy (eV per atom) = 0.03
- total magnetization (μB/cell) = 0.0

***

Record 3
Material: Ho4HgPd
Method: DFT, PBE-GGA
State: relaxed

Cell lengths 7.171, 7.106, 6.978 Å; angles 90.00, 93.13, 90.00 degrees
Fractional positions:
Ho: 0.149 0.158 0.174
Ho: 0.149 0.342 0.674
Ho: 0.330 0.649 0.129
Ho: 0.330 0.851 0.629
Ho: 0.670 0.149 0.371
Ho: 0.670 0.351 0.871
Ho: 0.851 0.658 0.326
Ho: 0.851 0.842 0.826
Hg: 0.500 0.000 0.000
Hg: 0.500 0.500 0.500
Pd: 0.000 0.000 0.500
Pd: 0.000 0.500 0.000

Calculated values
- relative energy among the computed polymorphs (eV/atom) = 0.222
- SG = P2_1/c, No. 14
- total DFT energy (no corrections) (eV for the cell shown) = -51.1
- calculated formation energy (eV per atom) = -0.29
- total magnetization (μB/cell) = 0.0

***

Record 4
Material: ScPdPb
Method: DFT, PBE-GGA
State: relaxed

Cell lengths 5.305, 5.305, 5.305 Å; angles 138.95, 138.95, 59.45 degrees
Fractional positions:
Sc: 0.000 0.000 0.000
Pd: 0.365 0.365 0.000
Pb: 0.686 0.686 0.000

Calculated values
- SG = I4mm, No. 107
- total DFT energy (no corrections) (eV for the cell shown) = -16.6
- calculated formation energy (eV per atom) = -0.44
- total magnetization (μB/cell) = 0.0

***

Record 5
Material: ScBeCuSe2
Method: DFT, PBE-GGA
State: relaxed

Cell lengths 4.473, 4.473, 4.643 Å; angles 90.00, 90.00, 90.00 degrees
Fractional positions:
Sc: 0.000 0.000 0.000
Be: 0.000 0.000 0.500
Cu: 0.500 0.500 0.000
Se: 0.000 0.500 0.500
Se: 0.500 0.000 0.500

Calculated values
- formation energy from raw total energies (eV/atom) = 0.192
- SG = P4/mmm, No. 123
- total DFT energy (no corrections) (eV for the cell shown) = -20.2
- total magnetization (μB/cell) = 0.0

***

Record 6
Material: LiMn2Pb
Method: DFT, PBE-GGA
State: relaxed

Cell lengths 5.600, 5.600, 3.050 Å; angles 103.62, 103.62, 119.80 degrees
Fractional positions:
Li: 0.000 0.000 0.000
Mn: 0.000 0.500 0.500
Mn: 0.500 0.000 0.500
Pb: 0.500 0.500 0.000

Calculated values
- SG = C2/m, No. 12
- total DFT energy (no corrections) (eV for the cell shown) = -22.3
- calculated formation energy (eV per atom) = 0.42
- total magnetization (μB/cell) = 7.5

***

Record 7
Material: LaYTe2O
Method: DFT, PBE-GGA
State: relaxed

Cell lengths 4.270, 4.270, 15.743 Å; angles 90.00, 90.00, 90.00 degrees
Fractional positions:
La: 0.250 0.250 0.073
La: 0.750 0.750 0.927
Y: 0.250 0.250 0.626
Y: 0.750 0.750 0.374
Te: 0.250 0.250 0.414
Te: 0.250 0.250 0.808
Te: 0.750 0.750 0.192
Te: 0.750 0.750 0.586
O: 0.250 0.750 0.000
O: 0.750 0.250 0.000

Calculated values
- formation energy from raw total energies (eV/atom) = -2.152
- SG = P4/nmm, No. 129
- total DFT energy (no corrections) (eV for the cell shown) = -66.8
- total magnetization (μB/cell) = 0.0

***

Record 8
Material: Sc4TlZnHg2
Method: DFT, PBE-GGA
State: relaxed

Cell lengths 8.636, 8.636, 8.636 Å; angles 33.24, 33.24, 33.24 degrees
Fractional positions:
Sc: 0.121 0.121 0.121
Sc: 0.372 0.372 0.372
Sc: 0.628 0.628 0.628
Sc: 0.879 0.879 0.879
Tl: 0.500 0.500 0.500
Zn: 0.000 0.000 0.000
Hg: 0.254 0.254 0.254
Hg: 0.746 0.746 0.746

Calculated values
- SG = R-3m, No. 166
- total DFT energy (no corrections) (eV for the cell shown) = -32.5
- calculated formation energy (eV per atom) = -0.37
- total magnetization (μB/cell) = 0.0

***

Record 9
Material: TiCuMo2Rh
Method: DFT, PBE-GGA
State: relaxed

Cell lengths 4.468, 4.468, 4.497 Å; angles 90.00, 90.00, 90.00 degrees
Fractional positions:
Ti: 0.000 0.000 0.000
Cu: 0.500 0.500 0.500
Mo: 0.000 0.500 0.500
Mo: 0.500 0.000 0.500
Rh: 0.500 0.500 0.000

Calculated values
- SG = P4/mmm, No. 123
- total DFT energy (no corrections) (eV for the cell shown) = -34.9
- calculated formation energy (eV per atom) = 1.23
- total magnetization (μB/cell) = 0.0

***

Record 10
Material: KPa2S6
Method: DFT, PBE-GGA
State: relaxed

Cell lengths 9.206, 8.548, 5.043 Å; angles 80.82, 66.44, 32.73 degrees
Fractional positions:
K: 0.000 0.000 0.000
Pa: 0.329 0.329 0.671
Pa: 0.671 0.671 0.329
S: 0.016 0.333 0.667
S: 0.333 0.016 0.984
S: 0.378 0.622 0.378
S: 0.622 0.378 0.622
S: 0.667 0.984 0.016
S: 0.984 0.667 0.333

Calculated values
- relative energy among the computed polymorphs (eV/atom) = 0.168
- formation energy from raw total energies (eV/atom) = -1.125
- SG = Fmmm, No. 69
- total DFT energy (no corrections) (eV for the cell shown) = -55.0
- total magnetization (μB/cell) = 0.6

***

Record 11
Material: TlIn4Hg6
Method: DFT, PBE-GGA
State: relaxed

Cell lengths 10.138, 10.138, 6.220 Å; angles 90.00, 90.00, 90.00 degrees
Fractional positions:
Tl: 0.250 0.750 0.250
Tl: 0.750 0.250 0.750
In: 0.032 0.750 0.650
In: 0.250 0.532 0.850
In: 0.250 0.968 0.850
In: 0.468 0.750 0.650
In: 0.532 0.250 0.350
In: 0.750 0.032 0.150
In: 0.750 0.468 0.150
In: 0.968 0.250 0.350
Hg: 0.037 0.537 0.250
Hg: 0.037 0.963 0.250
Hg: 0.250 0.250 0.123
Hg: 0.250 0.250 0.623
Hg: 0.463 0.537 0.250
Hg: 0.463 0.963 0.250
Hg: 0.537 0.037 0.750
Hg: 0.537 0.463 0.750
Hg: 0.750 0.750 0.377
Hg: 0.750 0.750 0.877
Hg: 0.963 0.037 0.750
Hg: 0.963 0.463 0.750

Calculated values
- relative energy among the computed polymorphs (eV/atom) = 0.022
- SG = P4_2/nmc, No. 137
- total DFT energy (no corrections) (eV for the cell shown) = -29.0
- calculated formation energy (eV per atom) = 0.06
- total magnetization (μB/cell) = 0.0

***

Record 12
Material: Ac2CdCu2O6
Method: DFT, PBE-GGA
State: relaxed

Cell lengths 6.679, 6.679, 6.679 Å; angles 52.43, 52.43, 52.43 degrees
Fractional positions:
Ac: 0.211 0.211 0.211
Ac: 0.789 0.789 0.789
Cd: 0.000 0.000 0.000
Cu: 0.424 0.424 0.424
Cu: 0.576 0.576 0.576
O: 0.208 0.750 0.750
O: 0.250 0.250 0.792
O: 0.250 0.792 0.250
O: 0.750 0.208 0.750
O: 0.750 0.750 0.208
O: 0.792 0.250 0.250

Calculated values
- formation energy from raw total energies (eV/atom) = -1.655
- SG = R-3m, No. 166
- total DFT energy (no corrections) (eV for the cell shown) = -65.3
- total magnetization (μB/cell) = 2.1

***

Question: Among the records above, which one has the highest total DFT energy (no corrections)?
Answer: DyErLuMg

***

Question: What is the total magnetization in the tenth record?
Answer: 0.6 μB/cell

***

Question: Number 10 is which compound?
Answer: KPa2S6